[1]
A relaxed structure of La3GaCo, computed with PBE-GGA.

Properties
For the energy above the lowest structure with this stoichiometry, the calculation gives 84 meV/atom. For the density of states at the Fermi level, the calculation gives 5.78 states/eV per cell. The total magnetic moment is 0.0 Bohr magnetons per cell. The value obtained for the formation energy is -203 meV/atom. Its mass density is 6.19 g cm⁻³.

a = 5.2681 Å, b = 5.2681 Å, c = 5.2681 Å
α = 90.00°, β = 90.00°, γ = 90.00°
Fractional positions:
Ga: 0.5000 0.5000 0.5000
La: 0.0000 0.0000 0.5000
La: 0.5000 0.0000 0.0000
La: 0.0000 0.5000 0.0000
Co: 0.0000 0.0000 0.0000

[2]
A relaxed structure of La6GaCo3, computed with PBE-GGA.

Properties
For the density of states at the Fermi level, the calculation gives 18.47 states/eV per cell. The total magnetic moment is 0.0 Bohr magnetons per cell. The value obtained for the formation energy is -155 meV/atom. Its mass density is 6.48 g cm⁻³.

a = 3.8470 Å, b = 10.9797 Å, c = 13.7490 Å
α = 107.56°, β = 90.00°, γ = 90.00°
Fractional positions:
Ga: 0.2500 0.9375 0.2979
Ga: 0.7500 0.0625 0.7021
Co: 0.2500 0.3433 0.5227
Co: 0.2500 0.6382 0.1381
Co: 0.2500 0.9317 0.9730
Co: 0.7500 0.0683 0.0270
Co: 0.7500 0.6567 0.4773
Co: 0.7500 0.3618 0.8619
La: 0.2500 0.8518 0.5593
La: 0.7500 0.5375 0.6180
La: 0.2500 0.1744 0.9048
La: 0.7500 0.4418 0.0906
La: 0.7500 0.1482 0.4407
La: 0.2500 0.5582 0.9094
La: 0.7500 0.8511 0.8301
La: 0.7500 0.8256 0.0952
La: 0.2500 0.2847 0.6927
La: 0.2500 0.1489 0.1699
La: 0.2500 0.4625 0.3820
La: 0.7500 0.7153 0.3073

[3]
A relaxed structure of LaGa6Co4, computed with PBE-GGA.

Properties
For the density of states at the Fermi level, the calculation gives 8.54 states/eV per cell. The total magnetic moment is 0.0 Bohr magnetons per cell. The value obtained for the formation energy is -307 meV/atom. Its mass density is 7.83 g cm⁻³.

a = 3.9982 Å, b = 6.9683 Å, c = 6.9683 Å
α = 120.00°, β = 90.00°, γ = 90.00°
Fractional positions:
Ga: 0.5000 0.1991 0.8009
Ga: 0.5000 0.6017 0.8009
Ga: 0.0000 0.5328 0.0656
Ga: 0.5000 0.1991 0.3983
Ga: 0.0000 0.5328 0.4672
Ga: 0.0000 0.9344 0.4672
La: 0.0000 0.0000 0.0000
Co: 0.5000 0.4304 0.2152
Co: 0.5000 0.7848 0.5696
Co: 0.5000 0.7848 0.2152
Co: 0.0000 0.3333 0.6667

[4]
A relaxed structure of La2GaCo2, computed with PBE-GGA.

Properties
For the density of states at the Fermi level, the calculation gives 9.04 states/eV per cell. The total magnetic moment is 0.0 Bohr magnetons per cell. The value obtained for the formation energy is -311 meV/atom. Its mass density is 7.62 g cm⁻³.

a = 5.6289 Å, b = 5.5540 Å, c = 7.7710 Å
α = 102.44°, β = 90.00°, γ = 120.45°
Fractional positions:
La: 0.2016 0.7111 0.3539
La: 0.7984 0.2889 0.6461
La: 0.5095 0.7111 0.8539
La: 0.4905 0.2889 0.1461
Ga: 0.1287 0.0000 0.7500
Ga: 0.8713 0.0000 0.2500
Co: 0.7189 0.7197 0.4949
Co: 0.2811 0.2803 0.5051
Co: 0.9992 0.2803 0.0051
Co: 0.0008 0.7197 0.9949

[5]
A relaxed structure of LaGaCo, computed with PBE-GGA.

Properties
For the density of states at the Fermi level, the calculation gives 2.86 states/eV per cell. The total magnetic moment is 0.0 Bohr magnetons per cell. The value obtained for the formation energy is -356 meV/atom. Its mass density is 6.99 g cm⁻³.

a = 4.1076 Å, b = 4.2267 Å, c = 4.2267 Å
α = 120.00°, β = 90.00°, γ = 90.00°
Fractional positions:
Ga: 0.1666 0.0000 0.0000
La: 0.6666 0.3333 0.6667
Co: 0.1668 0.6667 0.3333

[6]
A relaxed structure of LaGa4Co4, computed with PBE-GGA.

Properties
For the density of states at the Fermi level, the calculation gives 15.84 states/eV per cell. The total magnetic moment is 3.3 Bohr magnetons per cell. The value obtained for the formation energy is -283 meV/atom. Its mass density is 7.92 g cm⁻³.

a = 5.6320 Å, b = 5.6320 Å, c = 8.6370 Å
α = 90.00°, β = 90.00°, γ = 90.00°
Site moments in Bohr magnetons follow the coordinates.
Fractional positions:
Co: 0.2818 0.0000 0.5925  0.46
Co: 0.2182 0.5000 0.9075  0.46
Co: 0.0000 0.2818 0.4075  0.46
Co: 0.5000 0.7818 0.0925  0.46
Co: 0.0000 0.7182 0.4075  0.46
Co: 0.7818 0.5000 0.9075  0.46
Co: 0.5000 0.2182 0.0925  0.46
Co: 0.7182 0.0000 0.5925  0.46
Ga: 0.0000 0.7202 0.6919  -0.02
Ga: 0.5000 0.7798 0.8081  -0.02
Ga: 0.0000 0.2798 0.6919  -0.02
Ga: 0.5000 0.2202 0.8081  -0.02
Ga: 0.2202 0.5000 0.1920  -0.02
Ga: 0.7798 0.5000 0.1920  -0.02
Ga: 0.2798 0.0000 0.3080  -0.02
Ga: 0.7202 0.0000 0.3080  -0.02
La: 0.5000 0.5000 0.5000  -0.03
La: 0.0000 0.0000 0.0000  -0.03

[7]
A relaxed structure of LaGa3Co3, computed with PBE-GGA.

Properties
For the energy above the lowest structure with this stoichiometry, the calculation gives 228 meV/atom. For the density of states at the Fermi level, the calculation gives 10.80 states/eV per cell. The total magnetic moment is 0.0 Bohr magnetons per cell. The value obtained for the formation energy is 79 meV/atom. Its mass density is 6.51 g cm⁻³.

a = 6.4441 Å, b = 6.4441 Å, c = 6.4441 Å
α = 90.00°, β = 90.00°, γ = 90.00°
Fractional positions:
La: 0.5000 0.5000 0.5000
La: 0.0000 0.0000 0.0000
Ga: 0.0000 0.5000 0.7500
Ga: 0.5000 0.2500 0.0000
Ga: 0.0000 0.5000 0.2500
Ga: 0.7500 0.0000 0.5000
Ga: 0.5000 0.7500 0.0000
Ga: 0.2500 0.0000 0.5000
Co: 0.7500 0.5000 0.0000
Co: 0.0000 0.7500 0.5000
Co: 0.2500 0.5000 0.0000
Co: 0.5000 0.0000 0.7500
Co: 0.5000 0.0000 0.2500
Co: 0.0000 0.2500 0.5000

[8]
A relaxed structure of La6Ga3Co11, computed with PBE-GGA.

Properties
For the density of states at the Fermi level, the calculation gives 48.28 states/eV per cell. The total magnetic moment is 22.2 Bohr magnetons per cell. The value obtained for the formation energy is -226 meV/atom. Its mass density is 7.45 g cm⁻³.

a = 12.7778 Å, b = 12.7778 Å, c = 12.7778 Å
α = 142.90°, β = 142.90°, γ = 53.47°
Site moments in Bohr magnetons follow the coordinates.
Fractional positions:
La: 0.3590 0.5171 0.5000  -0.01
La: 0.6547 0.4836 0.5000  -0.15
La: 0.0171 0.8590 0.5000  -0.01
La: 0.1003 0.1003 0.0000  -0.14
La: 0.3972 0.3972 0.0000  -0.21
La: 0.4836 0.9836 0.8290  -0.15
La: 0.8972 0.8972 0.0000  -0.21
La: 0.6003 0.6003 0.0000  -0.14
La: 0.5171 0.0171 0.1581  -0.01
La: 0.9836 0.1547 0.5000  -0.15
La: 0.8590 0.3590 0.8419  -0.01
La: 0.1547 0.6547 0.1710  -0.15
Ga: 0.2497 0.2497 0.0000  0.01
Ga: 0.2130 0.7130 0.7431  -0.06
Ga: 0.4699 0.2130 0.5000  -0.06
Ga: 0.7497 0.7497 0.0000  0.01
Ga: 0.9699 0.4699 0.2569  -0.06
Ga: 0.7130 0.9699 0.5000  -0.06
Co: 0.5240 0.7980 0.5000  1.39
Co: 0.3814 0.8814 0.1524  0.74
Co: 0.4314 0.2867 0.7228  1.22
Co: 0.2291 0.3814 0.5000  0.74
Co: 0.7640 0.6208 0.5000  1.20
Co: 0.1208 0.2640 0.5000  1.20
Co: 0.7980 0.2980 0.2740  1.39
Co: 0.6208 0.1208 0.8569  1.20
Co: 0.2640 0.7640 0.1431  1.20
Co: 0.4976 0.9976 0.5000  1.10
Co: 0.9976 0.4976 0.5000  1.10
Co: 0.8814 0.7291 0.5000  0.74
Co: 0.7291 0.2291 0.8476  0.74
Co: 0.2980 0.0240 0.5000  1.39
Co: 0.2086 0.0639 0.2772  1.22
Co: 0.0639 0.7867 0.8553  1.22
Co: 0.0240 0.5240 0.7260  1.39
Co: 0.9314 0.2086 0.1447  1.22
Co: 0.5639 0.7086 0.2772  1.22
Co: 0.2867 0.5639 0.8553  1.22
Co: 0.7867 0.9314 0.7228  1.22
Co: 0.7086 0.4314 0.1447  1.22